Compound: Nd2CoIrO6
Source: Alexandria via LeMat-Bulk
Functional: PBE+U
Structure: optimized geometry

The structure in POSCAR format:
```
Nd2CoIrO6
1.0
5.443 0.000 -0.045
0.000 5.908 0.000
-0.016 0.000 7.779
Nd Co O Ir
4 2 12 2
Direct
0.977 0.074 0.750 Nd
0.523 0.574 0.750 Nd
0.023 0.926 0.250 Nd
0.477 0.426 0.250 Nd
0.500 0.000 0.000 Co
0.000 0.500 0.500 Co
0.182 0.202 0.053 O
0.106 0.467 0.752 O
0.682 0.298 0.553 O
0.805 0.806 0.550 O
0.394 0.967 0.748 O
0.305 0.694 0.050 O
0.695 0.306 0.950 O
0.318 0.702 0.447 O
0.606 0.033 0.252 O
0.818 0.798 0.947 O
0.894 0.533 0.248 O
0.195 0.194 0.450 O
0.500 0.000 0.500 Ir
0.000 0.500 0.000 Ir
```

Raw total energy: -7.4506 eV per atom
Symmetry: P2_1/c
Total magnetic moment: 0.390 μB/atom
V: 12.51 Å³ per atom
D(E_F): 7.55 states/eV/f.u.
Theoretical density: 8.44 g cm⁻³